# 1
Entry from Alexandria: a relaxed structure of RbNa2Bi2 (PBE-GGA).

## Properties
The formation enthalpy at 0 K comes out at -0.228 eV/atom. The space group is No. 12. The polymorph energy (0 for the lowest one) is 0.42 eV per formula unit.

```
RbNa2Bi2
1.0
-0.4659 0.0388 5.3254
-4.6724 -4.2834 -0.3776
4.4196 -5.0820 -2.2596
Bi Na Rb
2 2 1
Direct
0.7068 0.1157 0.4136
0.2932 0.8843 0.5864
0.6794 0.6253 0.3587
0.3206 0.3747 0.6413
0.0000 0.0000 0.0000
```

=====

# 2
Entry from Alexandria: a relaxed structure of Ac6GeOs2Cl3 (PBE-GGA).

## Properties
The value obtained for the formation energy without anion corrections is -967.1 meV/atom. The space group is No. 12.

```
Ac6GeOs2Cl3
1.0
-2.2936 1.5501 7.1619
-5.1848 -1.5861 -5.4368
2.9474 -7.5580 1.2051
Ac Cl Os Ge
6 3 2 1
Direct
0.9314 0.5760 0.7927
0.2860 0.2860 0.7922
0.5760 0.9314 0.7927
0.7140 0.7140 0.2078
0.4240 0.0686 0.2073
0.0686 0.4240 0.2073
0.1650 0.8350 0.5000
0.5000 0.5000 0.5000
0.8350 0.1650 0.5000
0.6667 0.3333 0.0000
0.3333 0.6667 0.0000
0.0000 0.0000 0.0000
```

=====

# 3
Entry from Alexandria: a relaxed structure of ThSnAu4 (PBE-GGA).

## Properties
The formation enthalpy at 0 K comes out at -0.338 eV/atom. The space group is No. 216. The polymorph energy (0 for the lowest one) is 0.00 eV per formula unit.

```
ThSnAu4
1.0
-4.3946 0.0289 3.6208
-4.7930 -2.7775 -1.3177
-1.4036 -4.7485 2.8116
Au Th Sn
4 1 1
Direct
0.6249 0.6249 0.6249
0.6249 0.1252 0.6249
0.6249 0.6249 0.1252
0.1252 0.6249 0.6249
0.2500 0.2500 0.2500
0.0000 0.0000 0.0000
```

=====

# 4
Entry from Alexandria: a relaxed structure of PaZnHg2 (PBE-GGA).

## Properties
The formation enthalpy at 0 K comes out at 0.076 eV/atom. The space group is No. 8. The polymorph energy (0 for the lowest one) is 0.00 eV per formula unit.

```
PaZnHg2
1.0
-1.3612 0.2016 2.8912
1.5431 -1.1101 2.5766
4.2858 8.7099 3.2483
Hg Zn Pa
2 1 1
Direct
0.0715 0.0715 0.7741
0.2625 0.2625 0.2262
0.6673 0.6673 0.9994
0.4987 0.4987 0.5003
```

=====

The records above yield E_tot values of -2.50; -5.74; -4.43; -2.77 eV/atom, respectively.